No. 1
This record from Alexandria via LeMat-Bulk describes a geometry-optimized Dy4Sc9In11 structure. The functional is PBE.

Cell: 15.4918 22.7466 3.2712 Å, 90.00 90.00 90.00°
Closest atoms and distances in Å follow each position.
Space group Cmmm (No. 65)
Unique sites:
Dy 0.1764 0.0808 0.0000 (multiplicity 8)  6 In 3.17-3.31, 2 Dy 3.27, 3 Sc 3.29-3.45
Sc 0.0000 0.0000 0.0000 (multiplicity 2)  4 In 3.20, 2 Sc 3.27, 4 Dy 3.29
Sc 0.1022 0.4020 0.0000 (multiplicity 8)  8 In 3.11-3.19, 3 Sc 3.17-3.27, 1 Dy 3.45
Sc 0.1095 0.2205 0.0000 (multiplicity 8)  8 In 3.10-3.27, 3 Sc 3.27-3.39, 1 Dy 3.34
In 0.0000 0.1210 0.5000 (multiplicity 4)  6 Sc 3.20-3.27, 2 In 3.27, 4 Dy 3.31
In 0.0000 0.3091 0.5000 (multiplicity 4)  8 Sc 3.10-3.11, 4 In 3.27-3.44
In 0.0000 0.5000 0.5000 (multiplicity 2)  4 In 3.01-3.27, 8 Sc 3.19
In 0.1944 0.5000 0.5000 (multiplicity 4)  3 In 3.01-3.27, 4 Sc 3.11, 4 Dy 3.17
In 0.2220 0.3147 0.5000 (multiplicity 8)  3 In 3.07-3.27, 6 Sc 3.17-3.21, 2 Dy 3.29

## Properties
Energy relative to the elements: -8.73 eV per formula unit
Magnetization: 0.099 μB/atom
Total energy: -228.50 eV per cell

=====

No. 2
This record from Alexandria via LeMat-Bulk describes a geometry-optimized Dy2ScIn4 structure. The functional is PBE.

Cell: 5.3683 5.3683 15.6226 Å, 90.00 90.00 90.00°
Closest atoms and distances in Å follow each position.
Space group I4/mmm (No. 139)
Unique sites:
Dy 0.0000 0.0000 0.1131 (multiplicity 4)  5 In 3.13-3.21
Sc 0.0000 0.0000 0.5000 (multiplicity 2)  6 In 2.68-2.91
In 0.0000 0.0000 0.3138 (multiplicity 4)  1 Sc 2.91, 1 Dy 3.13
In 0.0000 0.5000 0.0000 (multiplicity 4)  2 Sc 2.68

## Properties
Energy relative to the elements: 0.75 eV per formula unit
Magnetization: 0.158 μB/atom
Relative energy among the computed polymorphs: 0.434 eV per atom
Total energy: -51.49 eV per cell

=====

No. 3
This record from Alexandria via LeMat-Bulk describes a geometry-optimized Dy2ScIn3Se6 structure. The functional is PBE.

Cell: 7.0709 12.2312 8.0600 Å, 90.00 106.96 90.00°
Closest atoms and distances in Å follow each position.
Space group C2/m (No. 12)
Unique sites:
Dy 0.0000 0.1663 0.0000 (multiplicity 4)  6 Se 2.87-2.88
Sc 0.0000 0.5000 0.0000 (multiplicity 2)  6 Se 2.76-2.78
In 0.0000 0.0000 0.5000 (multiplicity 2)  6 Se 3.25-3.32
In 0.0000 0.3297 0.5000 (multiplicity 4)  6 Se 3.25-3.31
Se 0.2284 0.3396 0.2042 (multiplicity 8)  1 Sc 2.76, 2 Dy 2.87
Se 0.2481 0.0000 0.2086 (multiplicity 4)  1 Sc 2.78, 2 Dy 2.88

## Properties
Magnetization: 0.000 μB/atom
Total energy: -119.50 eV per cell

=====

No. 4
This record from Alexandria via LeMat-Bulk describes a geometry-optimized Dy3ScIn3Se8 structure. The functional is PBE.

Cell: 8.1739 8.1739 22.3689 Å, 90.00 90.00 120.00°
Closest atoms and distances in Å follow each position.
Space group R-3m (No. 166, hexagonal axes)
Unique sites:
Dy 0.0000 0.5000 0.0000 (multiplicity 9)  6 Se 2.87
Sc 0.0000 0.0000 0.0000 (multiplicity 3)  6 Se 2.76
In 0.0000 0.5000 0.5000 (multiplicity 9)  6 Se 3.16-3.17
Se 0.0000 0.0000 0.2607 (multiplicity 6)  3 Dy 2.87, 3 In 3.16
Se 0.0130 0.5065 0.7368 (multiplicity 18)  1 Sc 2.76, 2 Dy 2.87

## Properties
Magnetization: 0.000 μB/atom
Total energy: -228.22 eV per cell

=====

No. 5
This record from Alexandria via LeMat-Bulk describes a geometry-optimized DySc2In3Se6 structure. The functional is PBE.

Cell: 6.9465 12.0139 8.0314 Å, 90.00 106.72 90.00°
Closest atoms and distances in Å follow each position.
Space group C2/m (No. 12)
Unique sites:
Dy 0.0000 0.0000 0.0000 (multiplicity 2)  6 Se 2.85-2.87
Sc 0.0000 0.3331 0.0000 (multiplicity 4)  6 Se 2.74-2.76
In 0.0000 0.1622 0.5000 (multiplicity 4)  6 Se 3.22-3.28
In 0.0000 0.5000 0.5000 (multiplicity 2)  6 Se 3.21-3.28
Se 0.2203 0.5000 0.1997 (multiplicity 4)  2 Sc 2.74, 1 Dy 2.85
Se 0.2409 0.1731 0.2041 (multiplicity 8)  2 Sc 2.76, 1 Dy 2.87

## Properties
Magnetization: 0.000 μB/atom
Total energy: -122.03 eV per cell

=====

No. 6
This record from Alexandria via LeMat-Bulk describes a geometry-optimized SmDy2ScIn4 structure. The functional is PBE.

Cell: 5.2691 5.2691 25.9648 Å, 90.00 90.00 120.00°
Closest atoms and distances in Å follow each position.
Space group R-3m (No. 166, hexagonal axes)
Unique sites:
Sm 0.0000 0.0000 0.0000 (multiplicity 3)  8 In 3.25-3.31
Dy 0.0000 0.0000 0.2489 (multiplicity 6)  8 In 3.16-3.34
Sc 0.0000 0.0000 0.5000 (multiplicity 3)  8 In 3.18-3.21
In 0.0000 0.0000 0.1274 (multiplicity 6)  4 Dy 3.16-3.24, 3 Sc 3.21, 1 Sm 3.31
In 0.0000 0.0000 0.3777 (multiplicity 6)  1 Sc 3.18, 4 Dy 3.22-3.34, 3 Sm 3.25

## Properties
Energy relative to the elements: -3.56 eV per formula unit
Magnetization: 0.000 μB/atom
Total energy: -104.30 eV per cell

=====

No. 7
This record from Alexandria via LeMat-Bulk describes a geometry-optimized Sm2DyScIn2 structure. The functional is PBE.

Cell: 5.2956 9.3312 6.7604 Å, 90.00 90.00 90.00°
Closest atoms and distances in Å follow each position.
Space group Pmc2_1 (No. 26)
Unique sites:
Sm 0.0000 0.0125 0.0000 (multiplicity 2)  6 Sm 3.39-3.51, 2 Sc 3.47-3.56, 5 In 3.49-3.62
Sm 0.5000 0.1652 0.2643 (multiplicity 2)  5 In 3.17-3.46, 4 Sm 3.50-3.51, 1 Dy 3.53
Dy 0.5000 0.4888 0.9950 (multiplicity 2)  6 In 3.32-3.56, 2 Dy 3.39, 4 Sc 3.51-3.53, 2 Sm 3.53-3.59
Sc 0.0000 0.3300 0.7336 (multiplicity 2)  4 In 2.98-3.31
In 0.0000 0.3512 0.2446 (multiplicity 2)  2 Sc 2.98-3.31, 2 Sm 3.17
In 0.5000 0.1790 0.7532 (multiplicity 2)  2 Sc 3.00, 2 Sm 3.21-3.31, 1 Dy 3.32

## Properties
Energy relative to the elements: -2.07 eV per formula unit
Magnetization: 0.102 μB/atom
Total energy: -55.83 eV per cell

=====

No. 8
This record from Alexandria via LeMat-Bulk describes a geometry-optimized DyScInSn structure. The functional is PBE.

Cell: 7.3537 7.3537 7.3537 Å, 90.00 90.00 90.00°
Closest atoms and distances in Å follow each position.
Space group F-43m (No. 216)
Unique sites:
Dy 0.0000 0.0000 0.0000 (multiplicity 4)  4 In 3.18, 4 Sn 3.18
Sc 0.0000 0.0000 0.5000 (multiplicity 4)  4 In 3.18, 4 Sn 3.18
In 0.2500 0.2500 0.7500 (multiplicity 4)  4 Dy 3.18, 4 Sc 3.18
Sn 0.2500 0.2500 0.2500 (multiplicity 4)  4 Dy 3.18, 4 Sc 3.18

## Properties
Energy relative to the elements: -1.81 eV per formula unit
Magnetization: 0.000 μB/atom
Total energy: -77.95 eV per cell

=====

No. 9
This record from Alexandria via LeMat-Bulk describes a geometry-optimized TbDyScIn structure. The functional is PBE.

Cell: 7.5656 7.5656 7.5656 Å, 90.00 90.00 90.00°
Closest atoms and distances in Å follow each position.
Space group F-43m (No. 216)
Unique sites:
Tb 0.0000 0.0000 0.0000 (multiplicity 4)  4 Sc 3.28, 4 In 3.28
Dy 0.0000 0.0000 0.5000 (multiplicity 4)  4 In 3.28, 4 Sc 3.28
Sc 0.2500 0.2500 0.7500 (multiplicity 4)  4 Dy 3.28, 4 Tb 3.28
In 0.2500 0.2500 0.2500 (multiplicity 4)  4 Tb 3.28, 4 Dy 3.28

## Properties
Energy relative to the elements: -0.64 eV per formula unit
Magnetization: 0.254 μB/atom
Relative energy among the computed polymorphs: 0.101 eV per atom
Total energy: -75.78 eV per cell

=====

No. 10
This record from Alexandria via LeMat-Bulk describes a geometry-optimized TbDyScIn structure. The functional is PBE.

Cell: 4.7347 4.7476 4.7517 Å, 90.00 90.00 90.00°
Closest atoms and distances in Å follow each position.
Space group Pmmm (No. 47)
Unique sites:
Tb 0.0000 0.0000 0.0000 (multiplicity 1)  4 Sc 3.35, 4 In 3.35, 4 Dy 3.36
Dy 0.0000 0.5000 0.5000 (multiplicity 1)  4 In 3.35, 4 Sc 3.35, 4 Tb 3.36
Sc 0.5000 0.5000 0.0000 (multiplicity 1)  4 Tb 3.35, 4 Dy 3.35, 4 In 3.36
In 0.5000 0.0000 0.5000 (multiplicity 1)  4 Dy 3.35, 4 Tb 3.35, 4 Sc 3.36

## Properties
Energy relative to the elements: -1.05 eV per formula unit
Magnetization: 0.162 μB/atom
Relative energy among the computed polymorphs: 0.000 eV per atom
Total energy: -19.35 eV per cell

=====

No. 11
This record from Alexandria via LeMat-Bulk describes a geometry-optimized Tb6Dy2Sc3In structure. The functional is PBE.

Cell: 5.9836 10.3612 11.3647 Å, 90.00 100.08 90.00°
Closest atoms and distances in Å follow each position.
Space group C2/m (No. 12)
Unique sites:
Tb 0.2437 0.0000 0.2422 (multiplicity 4)  3 Sc 3.36-3.38, 6 Tb 3.42-3.47, 1 In 3.49, 2 Dy 3.51
Tb 0.2492 0.3351 0.2426 (multiplicity 8)  3 Sc 3.36-3.38, 6 Tb 3.42-3.47, 1 In 3.49, 2 Dy 3.51
Dy 0.0000 0.3334 0.5000 (multiplicity 4)  3 Dy 3.45-3.46, 3 In 3.45, 6 Tb 3.51
Sc 0.0000 0.1666 0.0000 (multiplicity 4)  6 Tb 3.36-3.38, 6 Sc 3.45-3.46
Sc 0.0000 0.5000 0.0000 (multiplicity 2)  6 Tb 3.36-3.38, 6 Sc 3.45
In 0.0000 0.0000 0.5000 (multiplicity 2)  6 Dy 3.45, 6 Tb 3.49

## Properties
Energy relative to the elements: -0.34 eV per formula unit
Magnetization: 0.000 μB/atom
Total energy: -118.12 eV per cell